ZrFeAu2 after structural relaxation, computed with PBE-GGA.

Cell: 3.899 2.982 6.754 Å, 63.89 90.00 90.00°
Fractional coordinates of all 4 atoms:
Fe  0.500  0.250  0.250
Au  0.000  0.522  0.479
Au  0.000  0.978  0.021
Zr  0.500  0.750  0.750

Summary:
Energy of formation from the pure elements ... -0.7 eV per formula unit
Calculated density ... 12.74 g/cm3

***

SrPa4Pd3S12 after structural relaxation, computed with PBE-GGA.

Cell: 8.473 8.473 8.473 Å, 109.47 109.47 109.47°
Fractional coordinates of all 20 atoms:
Pd  0.000  0.500  0.500
Pd  0.500  0.000  0.500
Pd  0.500  0.500  0.000
S  0.161  0.853  0.692
S  0.531  0.692  0.839
S  0.692  0.839  0.531
S  0.839  0.147  0.308
S  0.308  0.161  0.469
S  0.692  0.161  0.853
S  0.839  0.531  0.692
S  0.469  0.308  0.161
S  0.147  0.308  0.839
S  0.853  0.692  0.161
S  0.308  0.839  0.147
S  0.161  0.469  0.308
Pa  0.000  0.500  0.000
Pa  0.000  0.000  0.500
Pa  0.500  0.500  0.500
Pa  0.500  0.000  0.000
Sr  0.000  0.000  0.000

Summary:
E_form (uncorrected) ... -1.231 eV per atom
Calculated density ... 6.08 g/cm3

***

VCdH2 after structural relaxation, computed with PBE-GGA.

Cell: 4.535 4.535 5.245 Å, 64.38 64.38 90.00°
Fractional coordinates of all 8 atoms:
H  0.375  0.461  0.750
H  0.539  0.125  0.250
H  0.875  0.789  0.750
H  0.211  0.625  0.250
V  0.250  0.750  0.500
V  0.500  0.500  0.000
Cd  0.000  0.000  0.000
Cd  0.750  0.250  0.500

Summary:
Calculated density ... 6.43 g/cm3
Uncorrected energy ... -31.425 eV for the cell shown

***

V2InMo after structural relaxation, computed with PBE-GGA.

Cell: 7.151 7.151 5.750 Å, 51.55 51.55 90.00°
Fractional coordinates of all 8 atoms:
In  0.000  0.000  0.000
In  0.750  0.250  0.500
V  0.875  0.835  0.750
V  0.585  0.125  0.250
V  0.165  0.625  0.250
V  0.375  0.415  0.750
Mo  0.250  0.750  0.500
Mo  0.500  0.500  0.000

Summary:
Energy of formation from the pure elements ... 2.7 eV per formula unit
Calculated density ... 7.41 g/cm3

***

HfScH3 after structural relaxation, computed with PBE-GGA.

Cell: 5.298 6.019 6.385 Å, 98.78 90.00 90.00°
Fractional coordinates of all 20 atoms:
Sc  0.221  0.376  0.311
Sc  0.721  0.624  0.189
Sc  0.779  0.624  0.689
Sc  0.279  0.376  0.811
Hf  0.763  0.113  0.931
Hf  0.737  0.113  0.431
Hf  0.237  0.887  0.069
Hf  0.263  0.887  0.569
H  0.885  0.801  0.971
H  0.003  0.860  0.329
H  0.385  0.199  0.529
H  0.503  0.140  0.171
H  0.847  0.428  0.400
H  0.115  0.199  0.029
H  0.347  0.572  0.100
H  0.653  0.428  0.900
H  0.615  0.801  0.471
H  0.153  0.572  0.600
H  0.997  0.140  0.671
H  0.497  0.860  0.829

Summary:
Calculated density ... 7.47 g/cm3
Uncorrected energy ... -114.010 eV for the cell shown

***

Tm2ThTc after structural relaxation, computed with PBE-GGA.

Cell: 6.309 7.320 9.356 Å, 90.00 90.00 90.00°
Fractional coordinates of all 16 atoms:
Th  0.362  0.452  0.750
Th  0.138  0.952  0.750
Th  0.638  0.548  0.250
Th  0.862  0.048  0.250
Tm  0.667  0.825  0.934
Tm  0.667  0.825  0.566
Tm  0.167  0.675  0.066
Tm  0.333  0.175  0.066
Tm  0.333  0.175  0.434
Tm  0.833  0.325  0.934
Tm  0.833  0.325  0.566
Tm  0.167  0.675  0.434
Tc  0.019  0.371  0.250
Tc  0.481  0.871  0.250
Tc  0.519  0.129  0.750
Tc  0.981  0.629  0.750

Summary:
Energy of formation from the pure elements ... -0.8 eV per formula unit
Calculated density ... 10.27 g/cm3

***

NaTcB2Te after structural relaxation, computed with PBE-GGA.

Cell: 4.162 6.005 4.162 Å, 90.00 90.00 90.00°
Fractional coordinates of all 5 atoms:
Tc  0.000  0.000  0.000
B  0.500  0.000  0.000
B  0.000  0.000  0.500
Na  0.000  0.500  0.000
Te  0.500  0.500  0.500

Summary:
E_form (uncorrected) ... 1.166 eV per atom
Calculated density ... 4.31 g/cm3

***

BaPr2In3 after structural relaxation, computed with PBE-GGA.

Cell: 4.005 4.005 12.186 Å, 90.00 90.00 90.00°
Fractional coordinates of all 6 atoms:
In  0.000  0.000  0.304
In  0.000  0.000  0.000
In  0.000  0.000  0.696
Pr  0.500  0.500  0.843
Pr  0.500  0.500  0.157
Ba  0.500  0.500  0.500

Summary:
Energy of formation from the pure elements ... -2.7 eV per formula unit
Calculated density ... 6.49 g/cm3

***

LiCa2Ir after structural relaxation, computed with PBE-GGA.

Cell: 4.314 4.131 5.726 Å, 68.92 90.00 90.00°
Fractional coordinates of all 4 atoms:
Ca  0.000  0.984  0.908
Ca  0.500  0.260  0.354
Ir  0.000  0.689  0.497
Li  0.500  0.567  0.741

Summary:
Energy of formation from the pure elements ... -0.7 eV per formula unit
Calculated density ... 4.87 g/cm3

***

TiTc2Pb after structural relaxation, computed with PBE-GGA.

Cell: 4.075 4.075 9.772 Å, 77.96 77.96 90.00°
Fractional coordinates of all 8 atoms:
Pb  0.000  0.000  0.000
Pb  0.750  0.250  0.500
Tc  0.875  0.794  0.750
Tc  0.375  0.456  0.750
Tc  0.206  0.625  0.250
Tc  0.544  0.125  0.250
Ti  0.500  0.500  0.000
Ti  0.250  0.750  0.500

Summary:
Energy of formation from the pure elements ... 2.4 eV per formula unit
Calculated density ... 9.66 g/cm3

***

Ni2Ge2Te after structural relaxation, computed with PBE-GGA.

Cell: 4.214 4.214 5.670 Å, 68.19 68.19 90.00°
Fractional coordinates of all 5 atoms:
Te  0.000  0.000  0.000
Ni  0.250  0.750  0.500
Ni  0.750  0.250  0.500
Ge  0.370  0.370  0.260
Ge  0.630  0.630  0.740

Summary:
E_form (uncorrected) ... 0.066 eV per atom
Calculated density ... 7.57 g/cm3

***

ErSbS after structural relaxation, computed with PBE-GGA.

Cell: 3.742 3.742 7.823 Å, 90.00 90.00 120.00°
Fractional coordinates of all 3 atoms:
S  0.333  0.667  0.562
Sb  0.000  0.000  0.051
Er  0.667  0.333  0.387

Summary:
E_form (uncorrected) ... -0.973 eV per atom
Calculated density ... 5.62 g/cm3

***

AcLaNiPd after structural relaxation, computed with PBE-GGA.

Cell: 5.216 5.216 5.216 Å, 60.00 60.00 60.00°
Fractional coordinates of all 4 atoms:
Ni  0.750  0.750  0.750
Pd  0.250  0.250  0.250
La  0.500  0.500  0.500
Ac  0.000  0.000  0.000

Summary:
Energy of formation from the pure elements ... -1.8 eV per formula unit
Calculated density ... 8.79 g/cm3

***

CaPmPPd after structural relaxation, computed with PBE-GGA.

Cell: 5.009 5.009 5.009 Å, 60.00 60.00 60.00°
Fractional coordinates of all 4 atoms:
Pd  0.000  0.000  0.000
P  0.500  0.500  0.500
Pm  0.250  0.250  0.250
Ca  0.750  0.750  0.750

Summary:
Energy of formation from the pure elements ... -3.5 eV per formula unit
Calculated density ... 6.02 g/cm3

***

Ac2Zn5Ni5 after structural relaxation, computed with PBE-GGA.

Cell: 4.079 5.394 9.265 Å, 90.00 90.00 90.00°
Fractional coordinates of all 12 atoms:
Zn  0.500  0.755  0.244
Zn  0.500  0.500  0.500
Zn  0.500  0.245  0.244
Zn  0.500  0.245  0.756
Zn  0.500  0.755  0.756
Ni  0.000  0.500  0.667
Ni  0.000  0.500  0.333
Ni  0.000  0.000  0.157
Ni  0.500  0.000  0.000
Ni  0.000  0.000  0.843
Ac  0.000  0.500  0.000
Ac  0.000  0.000  0.500

Summary:
Energy of formation from the pure elements ... -3.5 eV per formula unit
Calculated density ... 8.75 g/cm3

***

RuIN2F after structural relaxation, computed with PBE-GGA.

Cell: 3.777 3.777 5.727 Å, 90.00 90.00 90.00°
Fractional coordinates of all 5 atoms:
N  0.500  0.000  0.000
N  0.000  0.500  0.000
F  0.500  0.500  0.500
Ru  0.000  0.000  0.000
I  0.000  0.000  0.500

Summary:
E_form (uncorrected) ... 0.621 eV per atom
Calculated density ... 5.59 g/cm3

***

Cs2KAuBr after structural relaxation, computed with PBE-GGA.

Cell: 6.929 6.929 6.193 Å, 90.00 90.00 90.00°
Fractional coordinates of all 5 atoms:
Br  0.000  0.000  0.000
Au  0.500  0.500  0.500
K  0.000  0.000  0.500
Cs  0.500  0.000  0.000
Cs  0.000  0.500  0.000

Summary:
E_form (uncorrected) ... -0.630 eV per atom
Calculated density ... 3.25 g/cm3

***

TbCeLuZr after structural relaxation, computed with PBE-GGA.

Cell: 5.418 5.418 5.418 Å, 60.00 60.00 60.00°
Fractional coordinates of all 4 atoms:
Lu  0.750  0.750  0.750
Tb  0.000  0.000  0.000
Ce  0.500  0.500  0.500
Zr  0.250  0.250  0.250

Summary:
Energy of formation from the pure elements ... 0.8 eV per formula unit
Calculated density ... 8.35 g/cm3

***

K6InSn2 after structural relaxation, computed with PBE-GGA.

Cell: 6.323 6.323 11.937 Å, 74.64 74.64 60.00°
Fractional coordinates of all 9 atoms:
Sn  0.917  0.917  0.249
Sn  0.083  0.083  0.751
K  0.300  0.300  0.099
K  0.700  0.700  0.901
K  0.810  0.810  0.569
K  0.423  0.423  0.730
K  0.190  0.190  0.431
K  0.577  0.577  0.270
In  0.000  0.000  0.000

Summary:
Energy of formation from the pure elements ... -1.3 eV per formula unit
Calculated density ... 2.48 g/cm3

***

Ac3PtSN after structural relaxation, computed with PBE-GGA.

Cell: 4.211 9.028 9.967 Å, 99.94 90.00 90.00°
Fractional coordinates of all 12 atoms:
Ac  0.750  0.179  0.514
Ac  0.250  0.104  0.838
Ac  0.750  0.896  0.162
Ac  0.250  0.821  0.486
Ac  0.250  0.592  0.848
Ac  0.750  0.408  0.152
N  0.250  0.084  0.600
N  0.750  0.916  0.400
S  0.250  0.162  0.202
S  0.750  0.838  0.798
Pt  0.250  0.648  0.153
Pt  0.750  0.352  0.847

Summary:
E_form (uncorrected) ... -1.332 eV per atom
Calculated density ... 8.21 g/cm3

***

AuC3I after structural relaxation, computed with PBE-GGA.

Cell: 4.290 4.290 4.290 Å, 90.00 90.00 90.00°
Fractional coordinates of all 5 atoms:
Au  0.000  0.000  0.000
C  0.000  0.000  0.500
C  0.000  0.500  0.000
C  0.500  0.000  0.000
I  0.500  0.500  0.500

Summary:
E_form (uncorrected) ... 3.070 eV per atom
Calculated density ... 7.57 g/cm3